CrFeP2 after structural relaxation, computed with PBE-GGA.

Cell lengths 3.044, 3.044, 4.988 Å; angles 90.00, 90.00, 90.00 degrees
Site moments in Bohr magnetons follow the coordinates.
Positions (direct):
1 Cr 0.000 0.000 0.451  0.47
2 Fe 0.500 0.500 0.805  1.45
3 P 0.000 0.000 0.966  -0.03
4 P 0.500 0.500 0.278  -0.04

Results
* crystal system: tetragonal
* energy above the most stable polymorph in this dataset: 88 kJ/mol of formula units
* VASP energy: -7.55 eV per atom


MgZrBr2 after structural relaxation, computed with PBE-GGA.

Cell lengths 5.261, 5.261, 3.346 Å; angles 90.00, 90.00, 103.20 degrees
Positions (direct):
1 Br 0.000 0.000 0.000
2 Br 0.500 0.500 0.000
3 Mg 0.500 0.000 0.500
4 Zr 0.000 0.500 0.500

Results
* crystal system: orthorhombic
* energy above the most stable polymorph in this dataset: 219 kJ/mol of formula units
* ΔE_f (raw): -0.1689 eV per atom
* VASP energy: -3.54 eV per atom


PaAlAu4 after structural relaxation, computed with PBE-GGA.

Cell lengths 5.173, 9.303, 5.173 Å; angles 87.75, 77.46, 87.75 degrees
Site moments in Bohr magnetons follow the coordinates.
Positions (direct):
1 Pa 0.184 0.192 0.184  -0.54
2 Pa 0.816 0.808 0.816  -0.54
3 Al 0.393 0.631 0.393  0.00
4 Al 0.607 0.369 0.607  0.00
5 Au 0.214 0.864 0.214  0.00
6 Au 0.893 0.609 0.339  -0.01
7 Au 0.708 0.000 0.292  0.01
8 Au 0.661 0.391 0.107  -0.01
9 Au 0.786 0.136 0.786  0.00
10 Au 0.107 0.391 0.661  -0.01
11 Au 0.292 0.000 0.708  0.01
12 Au 0.339 0.609 0.893  -0.01

Results
* crystal system: monoclinic
* VASP energy: -4.74 eV per atom


Rb2CdW after structural relaxation, computed with PBE-GGA.

Cell lengths 12.945, 12.945, 9.565 Å; angles 47.42, 47.42, 90.00 degrees
Site moments in Bohr magnetons follow the coordinates.
Positions (direct):
1 Rb 0.779 0.125 0.250  0.02
2 Rb 0.971 0.625 0.250  0.02
3 Rb 0.375 0.221 0.750  0.02
4 Rb 0.875 0.029 0.750  0.02
5 W 0.000 0.000 0.000  2.96
6 W 0.750 0.250 0.500  2.96
7 Cd 0.500 0.500 0.000  0.02
8 Cd 0.250 0.750 0.500  0.03

Results
* crystal system: tetragonal
* VASP energy: -2.49 eV per atom


LiGaRh6 after structural relaxation, computed with PBE-GGA.

Cell lengths 4.419, 5.107, 6.509 Å; angles 57.32, 70.16, 64.36 degrees
Positions (direct):
1 Li 0.000 0.000 0.000
2 Ga 0.000 0.500 0.500
3 Rh 0.232 0.899 0.637
4 Rh 0.501 0.247 0.751
5 Rh 0.232 0.405 0.131
6 Rh 0.499 0.753 0.249
7 Rh 0.768 0.101 0.363
8 Rh 0.768 0.595 0.869

Results
* crystal system: monoclinic
* VASP energy: -6.25 eV per atom


Ni2SbBr after structural relaxation, computed with PBE-GGA.

Cell lengths 3.297, 3.507, 6.445 Å; angles 89.96, 90.00, 90.00 degrees
Positions (direct):
1 Br 0.500 0.750 0.750
2 Ni 0.000 0.751 0.060
3 Ni 0.000 0.749 0.440
4 Sb 0.500 0.250 0.250

Results
* crystal system: orthorhombic
* energy above the most stable polymorph in this dataset: 24 kJ/mol of formula units
* ΔE_f (raw): 0.0377 eV per atom
* VASP energy: -4.30 eV per atom


Ac3RhPb2 after structural relaxation, computed with PBE-GGA.

Cell lengths 6.686, 8.277, 8.767 Å; angles 103.66, 112.42, 90.00 degrees
Positions (direct):
1 Ac 0.467 0.250 0.000
2 Ac 0.533 0.750 0.000
3 Ac 0.136 0.068 0.272
4 Ac 0.864 0.432 0.728
5 Ac 0.136 0.568 0.272
6 Ac 0.864 0.932 0.728
7 Rh 0.003 0.750 0.000
8 Rh 0.997 0.250 0.000
9 Pb 0.682 0.591 0.364
10 Pb 0.682 0.091 0.364
11 Pb 0.318 0.909 0.636
12 Pb 0.318 0.409 0.636

Results
* crystal system: monoclinic
* energy above the most stable polymorph in this dataset: 97 kJ/mol of formula units
* VASP energy: -4.95 eV per atom


GaRhS after structural relaxation, computed with PBE-GGA.

Cell lengths 2.964, 5.636, 8.046 Å; angles 117.07, 100.61, 90.00 degrees
Positions (direct):
1 S 0.595 0.840 0.190
2 S 0.405 0.160 0.810
3 Rh 0.140 0.183 0.279
4 Rh 0.860 0.817 0.721
5 Ga 0.682 0.596 0.364
6 Ga 0.318 0.404 0.636

Results
* crystal system: monoclinic
* ΔE_f (raw): -0.3029 eV per atom
* VASP energy: -5.14 eV per atom